1.
## Ce2PuSi2Ni2 (GGA-PBE)

Data for a relaxed Ce2PuSi2Ni2 crystal.

Values from the calculation:
Total DFT energy (no corrections) ... -157.12 eV per cell

Lattice parameters (Å, degrees): 4.1061 4.1061 27.0802 90.00 90.00 120.00
Space group R-3m (No. 166, hexagonal axes)
Unique sites:
1 Ce 0.0000 0.0000 0.1360 (multiplicity 6)
2 Pu 0.0000 0.0000 0.0000 (multiplicity 3)
3 Si 0.0000 0.0000 0.2633 (multiplicity 6)
4 Ni 0.0000 0.0000 0.4039 (multiplicity 6)

2.
## La2AlW (GGA-PBE)

Data for a relaxed La2AlW crystal.

Values from the calculation:
Formation energy from the elements ... 268 meV/atom

Lattice parameters (Å, degrees): 11.5553 3.1561 5.6274 90.00 104.90 90.00
Space group Cm (No. 8)
Unique sites:
1 La 0.0000 0.0000 0.0000 (multiplicity 2)
2 La 0.1963 0.0000 0.6662 (multiplicity 2)
3 Al 0.4332 0.0000 0.4676 (multiplicity 2)
4 W 0.2583 0.5000 0.2027 (multiplicity 2)